Ge2Te2I PBE optimized geometry; offset from the most stable computed form = 0.059 eV/atom; energy relative to the elements, uncorrected = 0.0229 eV/atom; DFT total energy = -3.391 eV/atom
1.0
-2.499 2.499 6.417
2.499 -2.499 6.417
2.499 2.499 -6.417
Ge Te I
2 2 1
direct
0.250 0.750 0.500 Ge
0.750 0.250 0.500 Ge
0.145 0.145 0.000 Te
0.855 0.855 0.000 Te
0.500 0.500 0.000 I